Computed, not measured: a relaxed Cd3SnAu crystal at the PBE level of DFT.

Summary:
* raw total energy: -1.81 eV/atom
* mass density: 7.46 g cm⁻³
* E above lowest polymorph: 233 meV per atom
* formation enthalpy at 0 K: 191 meV/atom

abc: 5.257 5.257 5.257
angles: 90.00 90.00 90.00
Space group Pm-3m (No. 221)
Unique sites:
Cd: 0.000 0.000 0.500 [3 per cell]
Sn: 0.500 0.500 0.500 [1 per cell]
Au: 0.000 0.000 0.000 [1 per cell]